Here is crystalline KLuMo2O8 at its relaxed geometry from Alexandria. Energies are from GGA-PBEsol.

a = 5.8674 Å, b = 5.8674 Å, c = 7.2793 Å
α = 90.00°, β = 90.00°, γ = 120.00°
With the nearest neighbours (Å) after each atom.
Positions (direct):
O1 0.8325 0.1675 0.8164  1 Mo 1.78
Lu1 0.0000 0.0000 0.0000  6 O 2.16
Mo1 0.3333 0.6667 0.2619  4 O 1.72-1.78
O2 0.6649 0.8325 0.1836  1 Mo 1.78
Mo2 0.6667 0.3333 0.7381  4 O 1.72-1.78
O3 0.6667 0.3333 0.5022  1 Mo 1.72
O4 0.8325 0.6649 0.8164  1 Mo 1.78
O5 0.1675 0.8325 0.1836  1 Mo 1.78
O6 0.3333 0.6667 0.4978  1 Mo 1.72
K1 0.0000 0.0000 0.5000  6 O 2.86
O7 0.3351 0.1675 0.8164  1 Mo 1.78
O8 0.1675 0.3351 0.1836  1 Mo 1.78

E_tot ... -101.0 eV per cell

***

Here is crystalline MgTe2Cl at its relaxed geometry from Alexandria. Energies are from GGA-PBEsol.

a = 4.2301 Å, b = 4.2301 Å, c = 12.4061 Å
α = 99.82°, β = 99.82°, γ = 90.00°
With the nearest neighbours (Å) after each atom.
Positions (direct):
Mg1 0.7500 0.2500 0.5000  4 Cl 2.99
Cl1 0.0000 0.0000 0.0000  4 Mg 2.99
Te1 0.6250 0.6188 0.7500  4 Te 2.95-3.03
Te2 0.1250 0.1312 0.7500  4 Te 2.95-3.03
Mg2 0.5000 0.5000 0.0000  4 Cl 2.99
Te3 0.3812 0.8750 0.2500  4 Te 2.95-3.03
Te4 0.8688 0.3750 0.2500  4 Te 2.95-3.03
Cl2 0.2500 0.7500 0.5000  4 Mg 2.99

E_tot ... -24.8 eV per cell

***

Here is crystalline TcP2AuS at its relaxed geometry from Alexandria. Energies are from GGA-PBEsol.

a = 4.4021 Å, b = 4.6179 Å, c = 4.6179 Å
α = 90.00°, β = 90.00°, γ = 90.00°
With the nearest neighbours (Å) after each atom.
Positions (direct):
S1 0.5000 0.0000 0.0000  2 Tc 2.20
Tc1 0.0000 0.0000 0.0000  2 S 2.20, 4 P 2.31
Au1 0.5000 0.5000 0.5000  8 P 3.19, 4 S 3.27
P1 0.0000 0.5000 0.0000  2 Tc 2.31
P2 0.0000 0.0000 0.5000  2 Tc 2.31

E_tot ... -28.1 eV per cell

***

Here is crystalline Ir2AuBr at its relaxed geometry from Alexandria. Energies are from GGA-PBEsol.

a = 3.5918 Å, b = 4.2314 Å, c = 4.2314 Å
α = 90.00°, β = 90.00°, γ = 90.00°
With the nearest neighbours (Å) after each atom.
Positions (direct):
Br1 0.5000 0.0000 0.0000  8 Ir 2.78, 4 Au 2.99
Ir1 0.0000 0.0000 0.5000  4 Au 2.78, 4 Br 2.78, 4 Ir 2.99
Au1 0.5000 0.5000 0.5000  8 Ir 2.78, 4 Br 2.99
Ir2 0.0000 0.5000 0.0000  4 Au 2.78, 4 Br 2.78, 4 Ir 2.99

Distance to the lowest polymorph of the same formula ... 0.571 eV per atom

***

no.,ρ (g/cm3)
1,4.09
2,4.86
3,6.88
4,17.08